Here is a relaxed structure of AlNiOs2 from Alexandria via LeMat-Bulk. Energies are from GGA-PBE.

a b c (Å): 8.673 2.722 4.706
angles (deg): 90.00 101.86 90.00
Element x y z (fractional)
Al: 0.000 0.000 0.000
Al: 0.500 0.500 0.000
Ni: 0.000 0.500 0.500
Ni: 0.500 0.000 0.500
Os: 0.247 0.500 0.258
Os: 0.253 0.000 0.742
Os: 0.747 0.000 0.258
Os: 0.753 0.500 0.742

Calculated values
The space group is C2/m, No. 12. The total magnetic moment comes out at 0.00 μB per formula unit. For the final energy, the calculation gives -8.031 eV per atom.

Here is a relaxed structure of AlNiOs2 from Alexandria via LeMat-Bulk. Energies are from GGA-PBE.

a b c (Å): 5.411 7.217 2.740
angles (deg): 90.00 90.00 90.00
Element x y z (fractional)
Al: 0.000 0.000 0.000
Al: 0.500 0.500 0.000
Ni: 0.000 0.500 0.000
Ni: 0.500 0.000 0.000
Os: 0.250 0.250 0.500
Os: 0.250 0.750 0.500
Os: 0.750 0.250 0.500
Os: 0.750 0.750 0.500

Calculated values
The space group is Cmmm, No. 65. The total magnetic moment comes out at 0.00 μB per formula unit. For the final energy, the calculation gives -7.973 eV per atom.

Here is a relaxed structure of AlNi2Os from Alexandria via LeMat-Bulk. Energies are from GGA-PBE.

a b c (Å): 2.688 2.688 24.407
angles (deg): 90.00 90.00 120.00
Element x y z (fractional)
Al: 0.000 0.000 0.000
Al: 0.333 0.667 0.667
Al: 0.667 0.333 0.333
Ni: 0.000 0.000 0.493
Ni: 0.000 0.000 0.745
Ni: 0.333 0.667 0.160
Ni: 0.333 0.667 0.411
Ni: 0.667 0.333 0.078
Ni: 0.667 0.333 0.827
Os: 0.000 0.000 0.244
Os: 0.333 0.667 0.911
Os: 0.667 0.333 0.577

Calculated values
The space group is R3m, No. 160. The total magnetic moment comes out at 0.00 μB per formula unit. For the final energy, the calculation gives -6.700 eV per atom.

Here is a relaxed structure of AlNiOs2 from Alexandria via LeMat-Bulk. Energies are from GGA-PBE.

a b c (Å): 2.812 2.812 6.720
angles (deg): 90.00 90.00 90.00
Element x y z (fractional)
Al: 0.000 0.000 0.000
Ni: 0.500 0.500 0.210
Os: 0.000 0.000 0.476
Os: 0.500 0.500 0.734

Calculated values
The space group is P4mm, No. 99. The total magnetic moment comes out at 0.31 μB per formula unit. For the final energy, the calculation gives -8.177 eV per atom.

Here is a relaxed structure of Al2NiOs2 from Alexandria via LeMat-Bulk. Energies are from GGA-PBE.

a b c (Å): 3.555 3.555 12.876
angles (deg): 90.00 90.00 90.00
Element x y z (fractional)
Al: 0.000 0.000 0.099
Al: 0.000 0.000 0.901
Al: 0.500 0.500 0.401
Al: 0.500 0.500 0.599
Ni: 0.000 0.000 0.500
Ni: 0.500 0.500 0.000
Os: 0.000 0.500 0.250
Os: 0.000 0.500 0.750
Os: 0.500 0.000 0.250
Os: 0.500 0.000 0.750

Calculated values
The space group is I4/mmm, No. 139. The total magnetic moment comes out at 0.00 μB per formula unit. For the final energy, the calculation gives -6.689 eV per atom.

Here is a relaxed structure of AlNiOs4 from Alexandria via LeMat-Bulk. Energies are from GGA-PBE.

a b c (Å): 5.105 5.105 5.105
angles (deg): 60.00 60.00 60.00
Element x y z (fractional)
Al: 0.000 0.000 0.000
Ni: 0.750 0.750 0.750
Os: 0.375 0.375 0.375
Os: 0.375 0.375 0.874
Os: 0.375 0.874 0.375
Os: 0.874 0.375 0.375

Calculated values
The space group is F-43m, No. 216. The total magnetic moment comes out at 0.00 μB per formula unit. For the final energy, the calculation gives -8.382 eV per atom.

Here is a relaxed structure of AlNi2Os from Alexandria via LeMat-Bulk. Energies are from GGA-PBE.

a b c (Å): 2.954 4.104 8.215
angles (deg): 90.00 90.00 90.00
Element x y z (fractional)
Al: 0.000 0.000 0.000
Al: 0.500 0.500 0.500
Ni: 0.000 0.500 0.258
Ni: 0.000 0.500 0.742
Ni: 0.500 0.000 0.242
Ni: 0.500 0.000 0.758
Os: 0.000 0.000 0.500
Os: 0.500 0.500 0.000

Calculated values
The space group is Immm, No. 71. The total magnetic moment comes out at 0.90 μB per formula unit. For the final energy, the calculation gives -6.754 eV per atom.

Here is a relaxed structure of AlNiOs2 from Alexandria via LeMat-Bulk. Energies are from GGA-PBE.

a b c (Å): 3.833 3.833 7.326
angles (deg): 90.00 90.00 90.00
Element x y z (fractional)
Al: 0.000 0.000 0.000
Al: 0.500 0.500 0.500
Ni: 0.000 0.000 0.500
Ni: 0.500 0.500 0.000
Os: 0.000 0.500 0.250
Os: 0.000 0.500 0.750
Os: 0.500 0.000 0.250
Os: 0.500 0.000 0.750

Calculated values
The space group is I4/mmm, No. 139. The total magnetic moment comes out at 0.01 μB per formula unit. For the final energy, the calculation gives -7.930 eV per atom.

Number 1: calculated formation energy -0.14 eV per formula unit. Number 2: calculated formation energy 0.09 eV per formula unit. Number 3: calculated formation energy -0.27 eV per formula unit. Number 4: calculated formation energy -0.73 eV per formula unit. Number 5: calculated formation energy 2.28 eV per formula unit. Number 6: calculated formation energy 4.15 eV per formula unit. Number 7: calculated formation energy -0.48 eV per formula unit. Number 8: calculated formation energy 0.26 eV per formula unit.